Record 1
The following is a PBE-GGA calculation of an optimized crystal structure of LaB2PAu, from Alexandria.

Results
Density   7.51 Mg/m³

a b c (Å): 4.210 4.210 4.844
angles (deg): 90.00 90.00 90.00
Fractional coordinates of all 5 atoms:
La (0.000, 0.000, 0.000)
B (0.000, 0.500, 0.500)
B (0.500, 0.000, 0.500)
P (0.500, 0.500, 0.500)
Au (0.500, 0.500, 0.000)



Record 2
The following is a PBE-GGA calculation of an optimized crystal structure of LaBPd6Au, from Alexandria.

Results
Density   10.49 Mg/m³

a b c (Å): 7.965 7.965 7.965
angles (deg): 137.22 108.75 86.83
Fractional coordinates of all 18 atoms:
La (0.436, 0.186, 0.250)
La (0.564, 0.814, 0.750)
B (0.000, 0.500, 0.500)
B (0.500, 0.500, 0.000)
Pd (0.119, 0.372, 0.244)
Pd (0.119, 0.875, 0.747)
Pd (0.206, 0.956, 0.250)
Pd (0.286, 0.536, 0.750)
Pd (0.372, 0.125, 0.744)
Pd (0.372, 0.628, 0.247)
Pd (0.628, 0.372, 0.753)
Pd (0.628, 0.875, 0.256)
Pd (0.714, 0.464, 0.250)
Pd (0.794, 0.044, 0.750)
Pd (0.881, 0.125, 0.253)
Pd (0.881, 0.628, 0.756)
Au (0.000, 0.000, 0.500)
Au (0.000, 0.500, 0.000)



Record 3
The following is a PBE-GGA calculation of an optimized crystal structure of LaBPt2Au, from Alexandria.

Results
Density   13.53 Mg/m³

a b c (Å): 4.483 4.483 4.499
angles (deg): 90.00 90.00 90.00
Fractional coordinates of all 5 atoms:
La (0.000, 0.000, 0.000)
B (0.500, 0.500, 0.500)
Pt (0.000, 0.500, 0.500)
Pt (0.500, 0.000, 0.500)
Au (0.500, 0.500, 0.000)



Record 4
The following is a PBE-GGA calculation of an optimized crystal structure of LaBRhAu2, from Alexandria.

Results
Density   10.08 Mg/m³

a b c (Å): 5.179 5.179 3.971
angles (deg): 90.00 90.00 90.00
Fractional coordinates of all 5 atoms:
La (0.000, 0.000, 0.000)
B (0.500, 0.500, 0.000)
Rh (0.500, 0.500, 0.500)
Au (0.000, 0.500, 0.500)
Au (0.500, 0.000, 0.500)



Record 5
The following is a PBE-GGA calculation of an optimized crystal structure of La3B2Rh9Au, from Alexandria.

Results
Density   9.66 Mg/m³

a b c (Å): 5.864 5.864 9.010
angles (deg): 90.00 90.00 120.00
Fractional coordinates of all 15 atoms:
La (0.000, 0.000, 0.000)
La (0.333, 0.667, 0.652)
La (0.667, 0.333, 0.348)
B (0.333, 0.667, 0.144)
B (0.667, 0.333, 0.856)
Rh (0.000, 0.500, 0.000)
Rh (0.164, 0.327, 0.268)
Rh (0.164, 0.836, 0.268)
Rh (0.327, 0.164, 0.732)
Rh (0.500, 0.000, 0.000)
Rh (0.500, 0.500, 0.000)
Rh (0.673, 0.836, 0.268)
Rh (0.836, 0.164, 0.732)
Rh (0.836, 0.673, 0.732)
Au (0.000, 0.000, 0.500)



Record 6
The following is a PBE-GGA calculation of an optimized crystal structure of LaBRh2Au, from Alexandria.

Results
Density   10.84 Mg/m³

a b c (Å): 4.367 4.367 4.436
angles (deg): 90.00 90.00 90.00
Fractional coordinates of all 5 atoms:
La (0.000, 0.000, 0.000)
B (0.500, 0.500, 0.500)
Rh (0.000, 0.500, 0.500)
Rh (0.500, 0.000, 0.500)
Au (0.500, 0.500, 0.000)



Record 7
The following is a PBE-GGA calculation of an optimized crystal structure of LaYBAu2, from Alexandria.

Results
Density   6.18 Mg/m³

a b c (Å): 5.233 5.233 6.212
angles (deg): 90.00 90.00 90.00
Fractional coordinates of all 5 atoms:
La (0.000, 0.000, 0.000)
Y (0.000, 0.000, 0.500)
B (0.500, 0.500, 0.000)
Au (0.000, 0.500, 0.500)
Au (0.500, 0.000, 0.500)



Record 8
The following is a PBE-GGA calculation of an optimized crystal structure of LaZnB2Au, from Alexandria.

Results
Density   7.76 Mg/m³

a b c (Å): 4.350 4.350 4.784
angles (deg): 90.00 90.00 90.00
Fractional coordinates of all 5 atoms:
La (0.000, 0.000, 0.000)
Zn (0.500, 0.500, 0.000)
B (0.000, 0.500, 0.500)
B (0.500, 0.000, 0.500)
Au (0.500, 0.500, 0.500)



Record 9
The following is a PBE-GGA calculation of an optimized crystal structure of La2ZnBAu, from Alexandria.

Results
Density   6.31 Mg/m³

a b c (Å): 5.577 5.577 4.659
angles (deg): 90.00 90.00 90.00
Fractional coordinates of all 5 atoms:
La (0.000, 0.500, 0.000)
La (0.500, 0.000, 0.000)
Zn (0.000, 0.000, 0.000)
B (0.500, 0.500, 0.500)
Au (0.000, 0.000, 0.500)



Record 10
The following is a PBE-GGA calculation of an optimized crystal structure of LiBAu3, from Alexandria.

Results
Relative energy among the computed polymorphs   1.171 eV per atom
Density   11.18 Mg/m³

a b c (Å): 4.489 4.489 4.489
angles (deg): 90.00 90.00 90.00
Fractional coordinates of all 5 atoms:
Li (0.000, 0.000, 0.000)
B (0.500, 0.500, 0.500)
Au (0.000, 0.000, 0.500)
Au (0.000, 0.500, 0.000)
Au (0.500, 0.000, 0.000)



Record 11
The following is a PBE-GGA calculation of an optimized crystal structure of LiB2Au, from Alexandria.

Results
Relative energy among the computed polymorphs   0.456 eV per atom
Density   9.07 Mg/m³

a b c (Å): 5.487 5.487 5.487
angles (deg): 90.00 90.00 90.00
Fractional coordinates of all 16 atoms:
Li (0.000, 0.000, 0.000)
Li (0.000, 0.500, 0.500)
Li (0.500, 0.000, 0.500)
Li (0.500, 0.500, 0.000)
B (0.250, 0.250, 0.250)
B (0.250, 0.250, 0.750)
B (0.250, 0.750, 0.250)
B (0.250, 0.750, 0.750)
B (0.750, 0.250, 0.250)
B (0.750, 0.250, 0.750)
B (0.750, 0.750, 0.250)
B (0.750, 0.750, 0.750)
Au (0.000, 0.000, 0.500)
Au (0.000, 0.500, 0.000)
Au (0.500, 0.000, 0.000)
Au (0.500, 0.500, 0.500)



Record 12
The following is a PBE-GGA calculation of an optimized crystal structure of LiB3Au, from Alexandria.

Results
Relative energy among the computed polymorphs   0.000 eV per atom
Density   5.20 Mg/m³

a b c (Å): 4.226 4.226 4.226
angles (deg): 90.00 90.00 90.00
Fractional coordinates of all 5 atoms:
Li (0.000, 0.000, 0.000)
B (0.000, 0.500, 0.500)
B (0.500, 0.000, 0.500)
B (0.500, 0.500, 0.000)
Au (0.500, 0.500, 0.500)



Number 1: magnetization 0.0 μB per cell, calculated total energy -4.787 eV/atom. Number 2: magnetization 0.0 μB per cell, calculated total energy -5.382 eV/atom. Number 3: magnetization 0.0 μB per cell, calculated total energy -5.945 eV/atom. Number 4: magnetization 0.0 μB per cell, calculated total energy -5.186 eV/atom. Number 5: magnetization 0.0 μB per cell, calculated total energy -6.996 eV/atom. Number 6: magnetization 0.0 μB per cell, calculated total energy -6.412 eV/atom. Number 7: magnetization 0.6 μB per cell, calculated total energy -3.605 eV/atom. Number 8: magnetization 0.0 μB per cell, calculated total energy -3.872 eV/atom. Number 9: magnetization 0.3 μB per cell, calculated total energy -3.494 eV/atom. Number 10: magnetization 0.0 μB per cell, calculated total energy -2.554 eV/atom. Number 11: magnetization 0.0 μB per cell, calculated total energy -3.880 eV/atom. Number 12: magnetization 0.9 μB per cell, calculated total energy -3.400 eV/atom.